[1]
Entry from Alexandria via LeMat-Bulk: a geometry-optimized MgTa2P structure (GGA-PBE).

Properties
Energy above the lowest structure with this stoichiometry in eV per atom: 0.4509
Formation energy in kJ per mole of atoms: 34.0
Volume in Å³ per cell: 291.6

```
data_MgTa2P
_chemical_formula_sum 'Mg4 Ta8 P4'
_cell_length_a 3.875
_cell_length_b 3.875
_cell_length_c 19.420
_cell_angle_alpha 90.00
_cell_angle_beta 90.00
_cell_angle_gamma 90.00
_space_group_name_H-M_alt 'I -4 2 d'
_space_group_IT_number 122
_space_group_name_Hall 'I -4 2bw'
loop_
_atom_site_label
_atom_site_fract_x
_atom_site_fract_y
_atom_site_fract_z
Mg1 0.000 0.000 0.000
Ta1 0.241 0.250 0.625
P1 0.000 0.000 0.500
```


[2]
Entry from Alexandria via LeMat-Bulk: a geometry-optimized KBeIr2 structure (GGA-PBE).

Properties
Formation energy in kJ per mole of atoms: 96.9
Volume in Å³ per cell: 132.4

```
data_KBeIr2
_chemical_formula_sum 'K2 Be2 Ir4'
_cell_length_a 5.675
_cell_length_b 9.069
_cell_length_c 2.572
_cell_angle_alpha 90.00
_cell_angle_beta 90.00
_cell_angle_gamma 90.00
_space_group_name_H-M_alt 'C m m m'
_space_group_IT_number 65
_space_group_name_Hall '-C 2 2'
loop_
_atom_site_label
_atom_site_fract_x
_atom_site_fract_y
_atom_site_fract_z
K1 0.000 0.000 0.000
Be1 0.000 0.500 0.000
Ir1 0.250 0.250 0.500
```


[3]
Entry from Alexandria via LeMat-Bulk: a geometry-optimized Tb9Sm2Ho structure (GGA-PBE).

Properties
Energy above the lowest structure with this stoichiometry in eV per atom: 0.0383
Formation energy in kJ per mole of atoms: 5.5
Volume in Å³ per cell: 385.1

```
data_Tb9Sm2Ho
_chemical_formula_sum 'Tb9 Sm2 Ho1'
_cell_length_a 11.2780
_cell_length_b 11.2780
_cell_length_c 3.4964
_cell_angle_alpha 90.00
_cell_angle_beta 90.00
_cell_angle_gamma 120.00
_space_group_name_H-M_alt 'P 6/m m m'
_space_group_IT_number 191
_space_group_name_Hall '-P 6 2'
loop_
_atom_site_label
_atom_site_fract_x
_atom_site_fract_y
_atom_site_fract_z
Tb1 0.0000 0.5000 0.0000
Tb2 0.1738 0.3476 0.5000
Sm1 0.3333 0.6667 0.0000
Ho1 0.0000 0.0000 0.0000
```